This record from the Open Quantum Materials Database describes CsTmAlSe3 after structural relaxation. The functional is PBE-GGA.

Unit cell a=4.3320 b=15.9592 c=10.8982 alpha=90.00 beta=90.00 gamma=90.00
Closest atoms and distances in Å follow each position.
Space group Cmcm (No. 63)
Unique sites:
Cs (0.0000, 0.2403, 0.2500)  8 Se 3.72-3.97
Tm (0.0000, 0.5000, 0.0000)  6 Se 2.84-2.93
Al (0.0000, 0.0289, 0.7500)  4 Se 2.44-2.51
Se (0.0000, 0.1153, 0.5648)  1 Al 2.44
Se (0.0000, 0.4491, 0.7500)  2 Al 2.51

Output
- Total DFT energy (no corrections): -0.332 Ry per atom
- Total moment: 0.4 μB/f.u.